1.
First-principles (PBE-GGA) data for a geometry-optimized KNaRhCl6 structure, as listed in the Alexandria database.

a b c (Å): 6.849 6.849 6.583
angles (deg): 90.02 90.02 120.07
Sites, in units of the cell vectors:
K 0.000 0.000 0.000
Na 0.666 0.334 0.500
Rh 0.333 0.667 0.500
Cl 0.049 0.392 0.294
Cl 0.050 0.657 0.707
Cl 0.343 0.950 0.293
Cl 0.344 0.393 0.707
Cl 0.607 0.656 0.293
Cl 0.608 0.951 0.706

* uncorrected formation energy: -1.0862 eV per atom
* theoretical density: 2.347 Mg/m³
* volume: 267 Å³ per cell
* final energy: -3.403 eV/atom

2.
First-principles (PBE-GGA) data for a geometry-optimized LiMg2Pb5 structure, as listed in the Alexandria database.

a b c (Å): 8.923 8.923 8.923
angles (deg): 126.78 126.78 78.60
Sites, in units of the cell vectors:
Li 0.250 0.250 0.000
Li 0.750 0.750 0.000
Mg 0.140 0.640 0.781
Mg 0.360 0.140 0.500
Mg 0.640 0.860 0.500
Mg 0.860 0.360 0.219
Pb 0.000 0.000 0.000
Pb 0.008 0.814 0.500
Pb 0.186 0.686 0.194
Pb 0.314 0.508 0.500
Pb 0.492 0.992 0.806
Pb 0.500 0.500 0.000
Pb 0.508 0.008 0.194
Pb 0.686 0.492 0.500
Pb 0.814 0.314 0.806
Pb 0.992 0.186 0.500

* formation energy from the elements: -32 kJ/mol of formula units
* theoretical density: 8.218 Mg/m³
* volume: 441 Å³ per cell
* energy relative to the lowest polymorph listed for this composition: 17.1 meV per atom
* final energy: -2.997 eV/atom

3.
First-principles (PBE-GGA) data for a geometry-optimized Ba3Ru2O6 structure, as listed in the Alexandria database.

a b c (Å): 11.232 11.232 4.051
angles (deg): 100.37 100.37 20.78
Sites, in units of the cell vectors:
Ba 0.000 0.000 0.000
Ba 0.183 0.183 0.182
Ba 0.817 0.817 0.818
Ru 0.405 0.405 0.405
Ru 0.595 0.595 0.595
O 0.089 0.089 0.588
O 0.307 0.307 0.308
O 0.411 0.411 0.912
O 0.589 0.589 0.088
O 0.693 0.693 0.692
O 0.911 0.911 0.412

* uncorrected formation energy: -1.7480 eV per atom
* theoretical density: 6.615 Mg/m³
* volume: 178 Å³ per cell
* final energy: -6.663 eV/atom

4.
First-principles (PBE-GGA) data for a geometry-optimized BaCa2Cu2 structure, as listed in the Alexandria database.

a b c (Å): 8.858 8.858 3.509
angles (deg): 90.00 90.00 90.00
Sites, in units of the cell vectors:
Ba 0.000 0.000 0.000
Ba 0.500 0.500 0.000
Ca 0.131 0.369 0.000
Ca 0.369 0.869 0.000
Ca 0.631 0.131 0.000
Ca 0.869 0.631 0.000
Cu 0.163 0.663 0.500
Cu 0.337 0.163 0.500
Cu 0.663 0.837 0.500
Cu 0.837 0.337 0.500

* formation energy from the elements: 50 kJ/mol of formula units
* theoretical density: 4.157 Mg/m³
* volume: 275 Å³ per cell
* energy relative to the lowest polymorph listed for this composition: 116.7 meV per atom
* final energy: -2.721 eV/atom

5.
First-principles (PBE-GGA) data for a geometry-optimized Pm2Dy5Ho5 structure, as listed in the Alexandria database.

a b c (Å): 7.947 7.947 11.242
angles (deg): 115.08 115.08 36.85
Sites, in units of the cell vectors:
Pm 0.083 0.083 0.249
Pm 0.917 0.917 0.751
Dy 0.334 0.334 0.500
Dy 0.416 0.416 0.250
Dy 0.500 0.500 0.000
Dy 0.584 0.584 0.750
Dy 0.666 0.666 0.500
Ho 0.000 0.000 0.500
Ho 0.168 0.168 0.000
Ho 0.249 0.249 0.750
Ho 0.751 0.751 0.250
Ho 0.832 0.832 0.000

* formation energy from the elements: 22 kJ/mol of formula units
* theoretical density: 8.401 Mg/m³
* volume: 381 Å³ per cell
* final energy: -4.598 eV/atom

6.
First-principles (PBE-GGA) data for a geometry-optimized TiBiPd6 structure, as listed in the Alexandria database.

a b c (Å): 4.698 4.698 7.553
angles (deg): 105.86 105.86 70.46
Sites, in units of the cell vectors:
Ti 0.000 0.000 0.000
Bi 0.500 0.500 0.500
Pd 0.071 0.562 0.713
Pd 0.347 0.347 0.054
Pd 0.438 0.929 0.287
Pd 0.562 0.071 0.713
Pd 0.653 0.653 0.946
Pd 0.929 0.438 0.287

* formation energy from the elements: -176 kJ/mol of formula units
* theoretical density: 10.044 Mg/m³
* volume: 148 Å³ per cell
* energy relative to the lowest polymorph listed for this composition: 206.3 meV per atom
* final energy: -5.594 eV/atom

7.
First-principles (PBE-GGA) data for a geometry-optimized Sr2InGe3Rh4 structure, as listed in the Alexandria database.

a b c (Å): 4.342 4.342 10.568
angles (deg): 90.00 90.00 90.00
Sites, in units of the cell vectors:
Sr 0.000 0.500 0.243
Sr 0.500 0.000 0.757
In 0.000 0.000 0.500
Ge 0.000 0.500 0.880
Ge 0.500 0.000 0.120
Ge 0.500 0.500 0.500
Rh 0.000 0.000 0.000
Rh 0.000 0.500 0.643
Rh 0.500 0.000 0.357
Rh 0.500 0.500 0.000

* formation energy from the elements: -643 kJ/mol of formula units
* theoretical density: 7.665 Mg/m³
* volume: 199 Å³ per cell
* final energy: -5.602 eV/atom

8.
First-principles (PBE-GGA) data for a geometry-optimized PrScPd structure, as listed in the Alexandria database.

a b c (Å): 4.662 4.662 6.894
angles (deg): 90.00 90.00 90.00
Sites, in units of the cell vectors:
Pr 0.250 0.250 0.124
Pr 0.750 0.750 0.876
Sc 0.250 0.750 0.500
Sc 0.750 0.250 0.500
Pd 0.250 0.250 0.708
Pd 0.750 0.750 0.292

* formation energy from the elements: -169 kJ/mol of formula units
* theoretical density: 6.479 Mg/m³
* volume: 150 Å³ per cell
* energy relative to the lowest polymorph listed for this composition: 0.0 meV per atom
* final energy: -6.019 eV/atom

9.
First-principles (PBE-GGA) data for a geometry-optimized Ac2PuF8 structure, as listed in the Alexandria database.

a b c (Å): 7.485 7.485 7.485
angles (deg): 146.84 133.92 57.94
Sites, in units of the cell vectors:
Ac 0.176 0.176 0.000
Ac 0.824 0.824 0.000
Pu 0.500 0.500 0.000
F 0.090 0.350 0.740
F 0.229 0.000 0.229
F 0.310 0.810 0.500
F 0.390 0.650 0.740
F 0.610 0.350 0.260
F 0.690 0.190 0.500
F 0.771 0.000 0.771
F 0.910 0.650 0.260

* uncorrected formation energy: -3.8219 eV per atom
* theoretical density: 8.612 Mg/m³
* volume: 164 Å³ per cell
* energy relative to the lowest polymorph listed for this composition: 54.6 meV per atom
* final energy: -7.233 eV/atom

10.
First-principles (PBE-GGA) data for a geometry-optimized TmTiZnAg structure, as listed in the Alexandria database.

a b c (Å): 4.811 4.811 4.811
angles (deg): 60.00 60.00 60.00
Sites, in units of the cell vectors:
Tm 0.000 0.000 0.000
Ti 0.500 0.500 0.500
Zn 0.750 0.750 0.750
Ag 0.250 0.250 0.250

* formation energy from the elements: -36 kJ/mol of formula units
* theoretical density: 8.225 Mg/m³
* volume: 79 Å³ per cell
* final energy: -4.216 eV/atom

11.
First-principles (PBE-GGA) data for a geometry-optimized LaTcOs2 structure, as listed in the Alexandria database.

a b c (Å): 10.055 10.055 10.055
angles (deg): 16.30 16.30 16.30
Sites, in units of the cell vectors:
La 0.000 0.000 0.000
Tc 0.236 0.236 0.236
Os 0.499 0.499 0.499
Os 0.762 0.762 0.762

* formation energy from the elements: 235 kJ/mol of formula units
* theoretical density: 14.686 Mg/m³
* volume: 70 Å³ per cell
* energy relative to the lowest polymorph listed for this composition: 315.1 meV per atom
* final energy: -8.830 eV/atom

12.
First-principles (PBE-GGA) data for a geometry-optimized Bi3RhCl structure, as listed in the Alexandria database.

a b c (Å): 5.345 5.345 5.345
angles (deg): 90.00 90.00 90.00
Sites, in units of the cell vectors:
Bi 0.000 0.000 0.500
Bi 0.000 0.500 0.000
Bi 0.500 0.000 0.000
Rh 0.500 0.500 0.500
Cl 0.000 0.000 0.000

* uncorrected formation energy: 0.9978 eV per atom
* theoretical density: 8.324 Mg/m³
* volume: 153 Å³ per cell
* energy relative to the lowest polymorph listed for this composition: 1275.1 meV per atom
* final energy: -3.170 eV/atom

Q: Which of these has the lowest volume?
A: LaTcOs2